No. 1
A relaxed Ce5PmSb5 crystal. Source: Alexandria, functional PBE.

The volume comes out at 378.53 Å³/f.u. For the electronic total energy, the calculation gives -5.851 eV per atom. For the energy relative to the elements, uncorrected, the calculation gives -0.848 eV/atom.

a = 7.728 Å, b = 7.728 Å, c = 8.946 Å
α = 106.85°, β = 106.85°, γ = 48.35°
Sites, in units of the cell vectors:
Ce (0.000, 0.000, 0.000)
Ce (0.333, 0.333, 0.167)
Ce (0.334, 0.334, 0.667)
Ce (0.666, 0.666, 0.333)
Ce (0.667, 0.667, 0.833)
Pm (0.000, 0.000, 0.500)
Sb (0.167, 0.167, 0.835)
Sb (0.168, 0.168, 0.333)
Sb (0.500, 0.500, 0.500)
Sb (0.832, 0.832, 0.667)
Sb (0.833, 0.833, 0.165)

***

No. 2
A relaxed CePmSb crystal. Source: Alexandria, functional PBE.

The volume comes out at 89.32 Å³/f.u. For the electronic total energy, the calculation gives -5.408 eV per atom. The energy above the most stable polymorph in this dataset is 0.402 eV per atom. For the energy relative to the elements, uncorrected, the calculation gives -0.472 eV/atom.

a = 9.885 Å, b = 9.885 Å, c = 9.885 Å
α = 160.14°, β = 146.97°, γ = 38.84°
Sites, in units of the cell vectors:
Ce (0.246, 0.000, 0.246)
Ce (0.754, 0.000, 0.754)
Pm (0.173, 0.673, 0.500)
Pm (0.827, 0.327, 0.500)
Sb (0.344, 0.844, 0.500)
Sb (0.656, 0.156, 0.500)

***

No. 3
A relaxed CePm3Sb4 crystal. Source: Alexandria, functional PBE.

The volume comes out at 257.05 Å³/f.u. For the electronic total energy, the calculation gives -5.739 eV per atom. For the energy relative to the elements, uncorrected, the calculation gives -1.154 eV/atom.

a = 6.358 Å, b = 6.358 Å, c = 6.358 Å
α = 90.00°, β = 90.00°, γ = 90.00°
Sites, in units of the cell vectors:
Ce (0.000, 0.000, 0.000)
Pm (0.000, 0.500, 0.500)
Pm (0.500, 0.000, 0.500)
Pm (0.500, 0.500, 0.000)
Sb (0.000, 0.000, 0.500)
Sb (0.000, 0.500, 0.000)
Sb (0.500, 0.000, 0.000)
Sb (0.500, 0.500, 0.500)

***

No. 4
A relaxed Ce2PmSb3 crystal. Source: Alexandria, functional PBE.

The volume comes out at 193.22 Å³/f.u. For the electronic total energy, the calculation gives -5.924 eV per atom. For the energy relative to the elements, uncorrected, the calculation gives -1.093 eV/atom.

a = 7.795 Å, b = 7.795 Å, c = 7.795 Å
α = 146.45°, β = 131.83°, γ = 59.97°
Sites, in units of the cell vectors:
Ce (0.167, 0.167, 0.000)
Ce (0.833, 0.833, 0.000)
Pm (0.500, 0.500, 0.000)
Sb (0.000, 0.500, 0.500)
Sb (0.333, 0.833, 0.500)
Sb (0.667, 0.167, 0.500)

***

No. 5
A relaxed CePmSb crystal. Source: Alexandria, functional PBE.

The volume comes out at 93.64 Å³/f.u. For the electronic total energy, the calculation gives -5.313 eV per atom. The energy above the most stable polymorph in this dataset is 0.497 eV per atom. For the energy relative to the elements, uncorrected, the calculation gives -0.377 eV/atom.

a = 5.150 Å, b = 5.150 Å, c = 4.077 Å
α = 90.00°, β = 90.00°, γ = 120.00°
Sites, in units of the cell vectors:
Ce (0.000, 0.000, 0.000)
Pm (0.667, 0.333, 0.454)
Sb (0.333, 0.667, 0.667)

***

No. 6
A relaxed CePm4Sb5 crystal. Source: Alexandria, functional PBE.

The volume comes out at 320.65 Å³/f.u. For the electronic total energy, the calculation gives -5.718 eV per atom. The energy above the most stable polymorph in this dataset is 0.000 eV per atom. For the energy relative to the elements, uncorrected, the calculation gives -1.163 eV/atom.

a = 11.889 Å, b = 11.889 Å, c = 11.889 Å
α = 158.21°, β = 149.02°, γ = 38.20°
Sites, in units of the cell vectors:
Ce (0.000, 0.000, 0.000)
Pm (0.201, 0.201, 0.000)
Pm (0.399, 0.399, 0.000)
Pm (0.601, 0.601, 0.000)
Pm (0.799, 0.799, 0.000)
Sb (0.099, 0.599, 0.500)
Sb (0.300, 0.800, 0.500)
Sb (0.500, 0.000, 0.500)
Sb (0.700, 0.200, 0.500)
Sb (0.901, 0.401, 0.500)

***

No. 7
A relaxed CePm2Sb crystal. Source: Alexandria, functional PBE.

The volume comes out at 113.85 Å³/f.u. For the electronic total energy, the calculation gives -5.409 eV per atom. The energy above the most stable polymorph in this dataset is 0.000 eV per atom. For the energy relative to the elements, uncorrected, the calculation gives -0.519 eV/atom.

a = 4.926 Å, b = 4.926 Å, c = 4.691 Å
α = 90.00°, β = 90.00°, γ = 90.00°
Sites, in units of the cell vectors:
Ce (0.000, 0.000, 0.000)
Pm (0.000, 0.500, 0.500)
Pm (0.500, 0.000, 0.500)
Sb (0.500, 0.500, 0.000)

***

No. 8
A relaxed Ce2PmScSb4 crystal. Source: Alexandria, functional PBE.

The volume comes out at 243.88 Å³/f.u. For the electronic total energy, the calculation gives -5.963 eV per atom. For the energy relative to the elements, uncorrected, the calculation gives -1.033 eV/atom.

a = 7.646 Å, b = 4.422 Å, c = 7.654 Å
α = 90.00°, β = 109.52°, γ = 90.00°
Sites, in units of the cell vectors:
Ce (0.000, 0.000, 0.000)
Ce (0.000, 0.500, 0.500)
Pm (0.500, 0.000, 0.500)
Sc (0.500, 0.500, 0.000)
Sb (0.256, 0.500, 0.242)
Sb (0.263, 0.000, 0.765)
Sb (0.737, 0.000, 0.235)
Sb (0.744, 0.500, 0.758)

***

No. 9
A relaxed CePmSbSe crystal. Source: Alexandria, functional PBE.

The volume comes out at 118.12 Å³/f.u. For the electronic total energy, the calculation gives -6.036 eV per atom. For the energy relative to the elements, uncorrected, the calculation gives -1.463 eV/atom.

a = 4.357 Å, b = 4.373 Å, c = 6.200 Å
α = 90.00°, β = 90.00°, γ = 90.00°
Sites, in units of the cell vectors:
Ce (0.000, 0.000, 0.000)
Pm (0.500, 0.500, 0.500)
Sb (0.000, 0.000, 0.500)
Se (0.500, 0.500, 0.000)

***

No. 10
A relaxed CePmSm2Sb4 crystal. Source: Alexandria, functional PBE.

The volume comes out at 254.70 Å³/f.u. For the electronic total energy, the calculation gives -5.726 eV per atom. For the energy relative to the elements, uncorrected, the calculation gives -1.149 eV/atom.

a = 7.763 Å, b = 4.480 Å, c = 7.764 Å
α = 90.00°, β = 109.38°, γ = 90.00°
Sites, in units of the cell vectors:
Ce (0.000, 0.000, 0.000)
Pm (0.000, 0.500, 0.500)
Sm (0.500, 0.000, 0.500)
Sm (0.500, 0.500, 0.000)
Sb (0.250, 0.000, 0.751)
Sb (0.250, 0.500, 0.250)
Sb (0.750, 0.000, 0.249)
Sb (0.750, 0.500, 0.750)

***

No. 11
A relaxed CePm2SmSb4 crystal. Source: Alexandria, functional PBE.

The volume comes out at 255.59 Å³/f.u. For the electronic total energy, the calculation gives -5.732 eV per atom. For the energy relative to the elements, uncorrected, the calculation gives -1.152 eV/atom.

a = 7.772 Å, b = 4.485 Å, c = 7.773 Å
α = 90.00°, β = 109.37°, γ = 90.00°
Sites, in units of the cell vectors:
Ce (0.000, 0.000, 0.000)
Pm (0.000, 0.500, 0.500)
Pm (0.500, 0.000, 0.500)
Sm (0.500, 0.500, 0.000)
Sb (0.249, 0.500, 0.249)
Sb (0.250, 0.000, 0.752)
Sb (0.750, 0.000, 0.248)
Sb (0.751, 0.500, 0.751)

***

No. 12
A relaxed TbCe2PmSb4 crystal. Source: Alexandria, functional PBE.

The volume comes out at 253.09 Å³/f.u. For the electronic total energy, the calculation gives -5.824 eV per atom. For the energy relative to the elements, uncorrected, the calculation gives -1.107 eV/atom.

a = 7.744 Å, b = 4.469 Å, c = 7.754 Å
α = 90.00°, β = 109.43°, γ = 90.00°
Sites, in units of the cell vectors:
Tb (0.000, 0.000, 0.000)
Ce (0.000, 0.500, 0.500)
Ce (0.500, 0.000, 0.500)
Pm (0.500, 0.500, 0.000)
Sb (0.246, 0.500, 0.247)
Sb (0.247, 0.000, 0.751)
Sb (0.753, 0.000, 0.249)
Sb (0.754, 0.500, 0.753)

***

No. 13
A relaxed TbCe3Pm2Sb6 crystal. Source: Alexandria, functional PBE.

The volume comes out at 381.91 Å³/f.u. For the electronic total energy, the calculation gives -5.834 eV per atom. For the energy relative to the elements, uncorrected, the calculation gives -1.111 eV/atom.

a = 7.762 Å, b = 7.762 Å, c = 7.764 Å
α = 99.60°, β = 99.60°, γ = 120.00°
Sites, in units of the cell vectors:
Tb (0.000, 0.000, 0.000)
Ce (0.168, 0.832, 0.500)
Ce (0.500, 0.500, 0.500)
Ce (0.832, 0.168, 0.500)
Pm (0.334, 0.666, 0.000)
Pm (0.666, 0.334, 0.000)
Sb (0.083, 0.413, 0.249)
Sb (0.247, 0.247, 0.750)
Sb (0.413, 0.083, 0.249)
Sb (0.587, 0.917, 0.751)
Sb (0.753, 0.753, 0.250)
Sb (0.917, 0.587, 0.751)

***

No. 14
A relaxed CePmTh2Sb4 crystal. Source: Alexandria, functional PBE.

The volume comes out at 258.23 Å³/f.u. For the electronic total energy, the calculation gives -6.278 eV per atom. For the energy relative to the elements, uncorrected, the calculation gives -1.027 eV/atom.

a = 7.789 Å, b = 4.503 Å, c = 7.810 Å
α = 90.00°, β = 109.49°, γ = 90.00°
Sites, in units of the cell vectors:
Ce (0.000, 0.000, 0.000)
Pm (0.000, 0.500, 0.500)
Th (0.500, 0.000, 0.500)
Th (0.500, 0.500, 0.000)
Sb (0.249, 0.000, 0.750)
Sb (0.249, 0.500, 0.250)
Sb (0.751, 0.000, 0.250)
Sb (0.751, 0.500, 0.750)

***

No. 15
A relaxed CePm2TmSb4 crystal. Source: Alexandria, functional PBE.

The volume comes out at 250.12 Å³/f.u. For the electronic total energy, the calculation gives -5.668 eV per atom. For the energy relative to the elements, uncorrected, the calculation gives -1.118 eV/atom.

a = 7.705 Å, b = 4.457 Å, c = 7.723 Å
α = 90.00°, β = 109.43°, γ = 90.00°
Sites, in units of the cell vectors:
Ce (0.000, 0.000, 0.000)
Pm (0.000, 0.500, 0.500)
Pm (0.500, 0.000, 0.500)
Tm (0.500, 0.500, 0.000)
Sb (0.252, 0.500, 0.245)
Sb (0.256, 0.000, 0.758)
Sb (0.744, 0.000, 0.242)
Sb (0.748, 0.500, 0.755)

***

No. 16
A relaxed Ce2PmTmSb5 crystal. Source: Alexandria, functional PBE.

The volume comes out at 322.59 Å³/f.u. For the electronic total energy, the calculation gives -4.971 eV per atom. For the energy relative to the elements, uncorrected, the calculation gives -0.337 eV/atom.

a = 5.258 Å, b = 5.258 Å, c = 11.671 Å
α = 90.00°, β = 90.00°, γ = 90.00°
Sites, in units of the cell vectors:
Ce (0.000, 0.000, 0.213)
Ce (0.000, 0.000, 0.787)
Pm (0.500, 0.500, 0.500)
Tm (0.500, 0.500, 0.000)
Sb (0.000, 0.000, 0.500)
Sb (0.000, 0.500, 0.000)
Sb (0.500, 0.000, 0.000)
Sb (0.500, 0.500, 0.249)
Sb (0.500, 0.500, 0.751)

***

No. 17
A relaxed CePm2TmSb5 crystal. Source: Alexandria, functional PBE.

The volume comes out at 322.20 Å³/f.u. For the electronic total energy, the calculation gives -4.816 eV per atom. For the energy relative to the elements, uncorrected, the calculation gives -0.314 eV/atom.

a = 5.238 Å, b = 5.238 Å, c = 11.742 Å
α = 90.00°, β = 90.00°, γ = 90.00°
Sites, in units of the cell vectors:
Ce (0.000, 0.000, 0.000)
Pm (0.500, 0.500, 0.278)
Pm (0.500, 0.500, 0.722)
Tm (0.000, 0.000, 0.500)
Sb (0.000, 0.000, 0.249)
Sb (0.000, 0.000, 0.751)
Sb (0.000, 0.500, 0.500)
Sb (0.500, 0.000, 0.500)
Sb (0.500, 0.500, 0.000)

***

No. 18
A relaxed Ce3Pm2TmSb6 crystal. Source: Alexandria, functional PBE.

The volume comes out at 379.37 Å³/f.u. For the electronic total energy, the calculation gives -5.804 eV per atom. For the energy relative to the elements, uncorrected, the calculation gives -1.094 eV/atom.

a = 7.746 Å, b = 7.746 Å, c = 7.746 Å
α = 99.60°, β = 99.60°, γ = 120.01°
Sites, in units of the cell vectors:
Ce (0.000, 0.000, 0.000)
Ce (0.331, 0.669, 0.000)
Ce (0.669, 0.331, 0.000)
Pm (0.166, 0.834, 0.500)
Pm (0.834, 0.166, 0.500)
Tm (0.500, 0.500, 0.500)
Sb (0.090, 0.418, 0.254)
Sb (0.256, 0.256, 0.749)
Sb (0.418, 0.090, 0.254)
Sb (0.582, 0.910, 0.746)
Sb (0.744, 0.744, 0.251)
Sb (0.910, 0.582, 0.746)

***

No. 19
A relaxed Ce3Pm2YSb6 crystal. Source: Alexandria, functional PBE.

The volume comes out at 381.63 Å³/f.u. For the electronic total energy, the calculation gives -5.989 eV per atom. For the energy relative to the elements, uncorrected, the calculation gives -1.114 eV/atom.

a = 7.760 Å, b = 7.760 Å, c = 7.762 Å
α = 99.60°, β = 99.60°, γ = 120.00°
Sites, in units of the cell vectors:
Ce (0.000, 0.000, 0.000)
Ce (0.332, 0.668, 0.000)
Ce (0.668, 0.332, 0.000)
Pm (0.166, 0.834, 0.500)
Pm (0.834, 0.166, 0.500)
Y (0.500, 0.500, 0.500)
Sb (0.088, 0.417, 0.252)
Sb (0.254, 0.254, 0.750)
Sb (0.417, 0.088, 0.252)
Sb (0.583, 0.912, 0.748)
Sb (0.746, 0.746, 0.250)
Sb (0.912, 0.583, 0.748)

***

No. 20
A relaxed CePmZnSb crystal. Source: Alexandria, functional PBE.

The volume comes out at 106.30 Å³/f.u. For the electronic total energy, the calculation gives -4.550 eV per atom. For the energy relative to the elements, uncorrected, the calculation gives -0.530 eV/atom.

a = 5.317 Å, b = 5.317 Å, c = 5.317 Å
α = 60.00°, β = 60.00°, γ = 60.00°
Sites, in units of the cell vectors:
Ce (0.000, 0.000, 0.000)
Pm (0.500, 0.500, 0.500)
Zn (0.250, 0.250, 0.250)
Sb (0.750, 0.750, 0.750)

***

No. 21
A relaxed CePm2Sc crystal. Source: Alexandria, functional PBE.

The volume comes out at 125.11 Å³/f.u. For the electronic total energy, the calculation gives -5.246 eV per atom. The energy above the most stable polymorph in this dataset is 0.110 eV per atom.

a = 5.614 Å, b = 5.614 Å, c = 5.614 Å
α = 60.00°, β = 60.00°, γ = 60.00°
Sites, in units of the cell vectors:
Ce (0.000, 0.000, 0.000)
Pm (0.250, 0.250, 0.250)
Pm (0.750, 0.750, 0.750)
Sc (0.500, 0.500, 0.500)

***

No. 22
A relaxed CePmSc crystal. Source: Alexandria, functional PBE.

The volume comes out at 86.62 Å³/f.u. For the electronic total energy, the calculation gives -5.581 eV per atom. The energy above the most stable polymorph in this dataset is 0.000 eV per atom.

a = 3.447 Å, b = 3.447 Å, c = 8.419 Å
α = 90.00°, β = 90.00°, γ = 120.00°
Sites, in units of the cell vectors:
Ce (0.000, 0.000, 0.000)
Pm (0.667, 0.333, 0.348)
Sc (0.333, 0.667, 0.684)

***

No. 23
A relaxed Ce2PmSc crystal. Source: Alexandria, functional PBE.

The volume comes out at 116.15 Å³/f.u. For the electronic total energy, the calculation gives -5.619 eV per atom. The energy above the most stable polymorph in this dataset is 0.015 eV per atom.

a = 3.411 Å, b = 3.411 Å, c = 9.981 Å
α = 90.00°, β = 90.00°, γ = 90.00°
Sites, in units of the cell vectors:
Ce (0.000, 0.000, 0.238)
Ce (0.000, 0.000, 0.762)
Pm (0.500, 0.500, 0.500)
Sc (0.500, 0.500, 0.000)

***

No. 24
A relaxed CePmSc3 crystal. Source: Alexandria, functional PBE.

The volume comes out at 140.96 Å³/f.u. For the electronic total energy, the calculation gives -5.742 eV per atom.

a = 9.950 Å, b = 9.950 Å, c = 6.125 Å
α = 96.05°, β = 96.05°, γ = 69.66°
Sites, in units of the cell vectors:
Ce (0.178, 0.282, 0.195)
Ce (0.282, 0.178, 0.695)
Ce (0.718, 0.822, 0.305)
Ce (0.822, 0.718, 0.805)
Pm (0.087, 0.913, 0.750)
Pm (0.260, 0.740, 0.250)
Pm (0.740, 0.260, 0.750)
Pm (0.913, 0.087, 0.250)
Sc (0.031, 0.622, 0.396)
Sc (0.140, 0.539, 0.901)
Sc (0.368, 0.465, 0.571)
Sc (0.378, 0.969, 0.104)
Sc (0.461, 0.860, 0.599)
Sc (0.465, 0.368, 0.071)
Sc (0.535, 0.632, 0.929)
Sc (0.539, 0.140, 0.401)
Sc (0.622, 0.031, 0.896)
Sc (0.632, 0.535, 0.429)
Sc (0.860, 0.461, 0.099)
Sc (0.969, 0.378, 0.604)

***

No. 25
A relaxed CePm2Sc crystal. Source: Alexandria, functional PBE.

The volume comes out at 121.49 Å³/f.u. For the electronic total energy, the calculation gives -5.242 eV per atom. The energy above the most stable polymorph in this dataset is 0.114 eV per atom.

a = 12.354 Å, b = 12.354 Å, c = 12.354 Å
α = 15.78°, β = 15.78°, γ = 15.78°
Sites, in units of the cell vectors:
Ce (0.000, 0.000, 0.000)
Pm (0.090, 0.090, 0.090)
Pm (0.910, 0.910, 0.910)
Sc (0.500, 0.500, 0.500)